# 1
{
  "formula": "LiMgIn2Re",
  "functional": "PBE",
  "state": "relaxed",
  "volume_a3_per_fu": 124.5,
  "ef_ev_per_atom": 1.40,
  "lattice": [[5.178, 0.000, 0.000], [0.000, 4.642, 0.000], [0.000, 0.000, 5.178]],
  "species": ["Li", "In", "In", "Re", "Mg"],
  "fractional_positions": [[0.000, 0.500, 0.000], [0.500, 0.000, 0.000], [0.000, 0.000, 0.500], [0.500, 0.500, 0.500], [0.000, 0.000, 0.000]]
}

---

# 2
{
  "formula": "LiMg2In2Rh2",
  "functional": "PBE",
  "state": "relaxed",
  "volume_a3_per_fu": 136.1,
  "ef_ev_per_atom": -0.27,
  "lattice": [[-3.350, -3.161, -1.222], [4.432, -0.395, -1.837], [-0.962, -1.966, 7.724]],
  "species": ["Rh", "Rh", "Mg", "Mg", "In", "In", "Li"],
  "fractional_positions": [[0.182, 0.364, 0.867], [0.818, 0.636, 0.133], [0.187, 0.374, 0.209], [0.813, 0.626, 0.791], [0.470, 0.940, 0.771], [0.530, 0.060, 0.229], [0.000, 0.000, 0.500]]
}

---

# 3
{
  "formula": "LiMgIn2Se4",
  "functional": "PBE",
  "state": "relaxed",
  "volume_a3_per_fu": 227.3,
  "dft_energy_ev_per_atom": -3.67,
  "lattice": [[6.368, -0.068, 0.000], [-0.596, 6.340, 0.000], [-2.886, -3.136, 5.636]],
  "species": ["Se", "Se", "Se", "Se", "Mg", "Li", "In", "In"],
  "fractional_positions": [[0.622, 0.622, 0.749], [0.358, 0.864, 0.221], [0.127, 0.127, 0.749], [0.864, 0.358, 0.221], [0.004, 0.004, 0.007], [0.506, 0.506, 0.012], [0.760, 0.260, 0.520], [0.260, 0.760, 0.520]]
}

---

# 4
{
  "formula": "LiMgInSi",
  "functional": "PBE",
  "state": "relaxed",
  "volume_a3_per_fu": 77.4,
  "dft_energy_ev_per_atom": -2.94,
  "lattice": [[-3.086, 2.902, -2.220], [0.101, 0.404, -4.765], [-3.544, -1.841, -2.631]],
  "species": ["Si", "In", "Mg", "Li"],
  "fractional_positions": [[0.250, 0.250, 0.250], [0.750, 0.750, 0.750], [0.500, 0.500, 0.500], [0.000, 0.000, 0.000]]
}

---

# 5
{
  "formula": "LiSmMgIn",
  "functional": "PBE",
  "state": "relaxed",
  "volume_a3_per_fu": 94.8,
  "ef_ev_per_atom": -0.29,
  "lattice": [[-3.558, -3.454, -1.264], [1.272, -4.063, -2.839], [0.099, -4.663, 2.106]],
  "species": ["In", "Mg", "Sm", "Li"],
  "fractional_positions": [[0.000, 0.000, 0.000], [0.750, 0.750, 0.750], [0.250, 0.250, 0.250], [0.500, 0.500, 0.500]]
}

---

# 6
{
  "formula": "LiSmMg2In4",
  "functional": "PBE",
  "state": "relaxed",
  "volume_a3_per_fu": 190.3,
  "ef_ev_per_atom": -0.27,
  "lattice": [[5.049, 0.000, 0.000], [2.525, 4.373, 0.000], [2.525, 1.458, 8.620]],
  "species": ["In", "In", "In", "In", "Li", "Mg", "Mg", "Sm"],
  "fractional_positions": [[0.130, 0.130, 0.609], [0.870, 0.870, 0.391], [0.614, 0.614, 0.158], [0.386, 0.386, 0.842], [0.500, 0.500, 0.500], [0.251, 0.251, 0.248], [0.749, 0.749, 0.752], [0.000, 0.000, 0.000]]
}

---

# 7
{
  "formula": "Li2Sm2MgIn5",
  "functional": "PBE",
  "state": "relaxed",
  "volume_a3_per_fu": 229.8,
  "ef_ev_per_atom": -0.36,
  "lattice": [[4.414, 0.000, 0.000], [0.000, 10.204, 0.000], [0.000, 0.000, 10.204]],
  "species": ["Sm", "Sm", "Sm", "Sm", "In", "In", "In", "In", "In", "In", "In", "In", "In", "In", "Li", "Li", "Li", "Li", "Mg", "Mg"],
  "fractional_positions": [[0.000, 0.681, 0.181], [0.000, 0.181, 0.319], [0.000, 0.319, 0.819], [0.000, 0.819, 0.681], [0.500, 0.793, 0.936], [0.500, 0.707, 0.436], [0.500, 0.293, 0.564], [0.500, 0.000, 0.500], [0.500, 0.500, 0.000], [0.500, 0.064, 0.793], [0.500, 0.564, 0.707], [0.500, 0.207, 0.064], [0.500, 0.936, 0.207], [0.500, 0.436, 0.293], [0.000, 0.387, 0.113], [0.000, 0.113, 0.613], [0.000, 0.613, 0.887], [0.000, 0.887, 0.387], [0.000, 0.000, 0.000], [0.000, 0.500, 0.500]]
}

---

# 8
{
  "formula": "LiMgInSn",
  "functional": "PBE",
  "state": "relaxed",
  "volume_a3_per_fu": 89.7,
  "ef_ev_per_atom": -0.21,
  "lattice": [[-0.019, -3.434, -3.668], [3.054, -3.981, 0.269], [-1.902, -4.573, 0.849]],
  "species": ["Mg", "Sn", "In", "Li"],
  "fractional_positions": [[0.000, 0.000, 0.000], [0.750, 0.750, 0.750], [0.250, 0.250, 0.250], [0.500, 0.500, 0.500]]
}

---

# 9
{
  "formula": "SrLiMg3In",
  "functional": "PBE",
  "state": "relaxed",
  "volume_a3_per_fu": 162.2,
  "ef_ev_per_atom": -0.09,
  "lattice": [[6.574, 0.000, 0.000], [0.000, 7.008, 0.000], [0.000, -3.504, 7.043]],
  "species": ["Mg", "Mg", "Mg", "Mg", "Mg", "Mg", "In", "In", "Sr", "Sr", "Li", "Li"],
  "fractional_positions": [[0.500, 0.290, 0.000], [0.250, 0.135, 0.271], [0.000, 0.290, 0.000], [0.000, 0.710, 0.000], [0.500, 0.710, 0.000], [0.750, 0.865, 0.729], [0.250, 0.352, 0.703], [0.750, 0.648, 0.297], [0.750, 0.286, 0.573], [0.250, 0.714, 0.427], [0.250, 0.934, 0.868], [0.750, 0.066, 0.132]]
}

---

# 10
{
  "formula": "Sr2LiMg12In3",
  "functional": "PBE",
  "state": "relaxed",
  "volume_a3_per_fu": 519.3,
  "ef_ev_per_atom": 0.09,
  "lattice": [[11.558, 2.491, 1.767], [7.874, 8.820, 1.767], [7.874, 4.583, 7.740]],
  "species": ["Mg", "Mg", "Mg", "Mg", "Mg", "Mg", "Mg", "Mg", "Mg", "Mg", "Mg", "Mg", "In", "In", "In", "Sr", "Sr", "Li"],
  "fractional_positions": [[0.186, 0.584, 0.584], [0.636, 0.084, 0.084], [0.084, 0.084, 0.636], [0.084, 0.636, 0.084], [0.416, 0.416, 0.814], [0.584, 0.584, 0.186], [0.916, 0.364, 0.916], [0.814, 0.416, 0.416], [0.364, 0.916, 0.916], [0.416, 0.814, 0.416], [0.584, 0.186, 0.584], [0.916, 0.916, 0.364], [0.000, 0.500, 0.000], [0.000, 0.000, 0.500], [0.500, 0.000, 0.000], [0.356, 0.356, 0.356], [0.644, 0.644, 0.644], [0.000, 0.000, 0.000]]
}

---

# 11
{
  "formula": "SrLi4Mg2In",
  "functional": "PBE",
  "state": "relaxed",
  "volume_a3_per_fu": 195.2,
  "ef_ev_per_atom": -0.09,
  "lattice": [[-3.051, -2.852, -2.476], [-3.403, -2.537, 2.356], [-8.242, 5.517, -0.960]],
  "species": ["Sr", "In", "Li", "Li", "Li", "Li", "Mg", "Mg"],
  "fractional_positions": [[0.000, 0.000, 0.000], [0.500, 0.500, 0.500], [0.404, 0.404, 0.787], [0.596, 0.596, 0.213], [0.868, 0.868, 0.397], [0.132, 0.132, 0.603], [0.236, 0.236, 0.293], [0.764, 0.764, 0.707]]
}

---

# 12
{
  "formula": "Sr2LiMg2In5",
  "functional": "PBE",
  "state": "relaxed",
  "volume_a3_per_fu": 271.5,
  "ef_ev_per_atom": -0.26,
  "lattice": [[4.291, 0.000, 0.000], [0.000, 11.249, 0.000], [0.000, 0.000, 11.249]],
  "species": ["In", "In", "In", "In", "In", "In", "In", "In", "In", "In", "Mg", "Mg", "Mg", "Mg", "Li", "Li", "Sr", "Sr", "Sr", "Sr"],
  "fractional_positions": [[0.500, 0.057, 0.808], [0.500, 0.808, 0.943], [0.500, 0.943, 0.192], [0.500, 0.000, 0.500], [0.500, 0.308, 0.557], [0.500, 0.557, 0.692], [0.500, 0.192, 0.057], [0.500, 0.500, 0.000], [0.500, 0.443, 0.308], [0.500, 0.692, 0.443], [0.000, 0.623, 0.877], [0.000, 0.877, 0.377], [0.000, 0.123, 0.623], [0.000, 0.377, 0.123], [0.000, 0.500, 0.500], [0.000, 0.000, 0.000], [0.000, 0.324, 0.824], [0.000, 0.676, 0.176], [0.000, 0.176, 0.324], [0.000, 0.824, 0.676]]
}